Here is a relaxed structure of NdCdIn2 from Alexandria. Energies are from PBE-GGA.

Cell and atoms, written as POSCAR:
```
NdCdIn2
1.0
4.645 0.000 0.000
0.000 4.710 0.000
0.000 0.000 4.710
Nd In Cd
1 2 1
direct
0.500 0.000 0.000
0.000 0.500 0.000
0.000 0.000 0.500
0.500 0.500 0.500
```

Calculated values
As for the excess energy over the best structure of this formula in the dataset: 0 meV per atom. Its formation energy is -0.42 eV/atom.

---

Here is a relaxed structure of NdCdIn2 from Alexandria. Energies are from PBE-GGA.

Cell and atoms, written as POSCAR:
```
NdCdIn2
1.0
-0.158 -3.126 2.059
3.710 0.142 0.499
-0.996 4.148 6.222
In Nd Cd
2 1 1
direct
0.000 0.000 0.220
0.000 0.000 0.780
0.500 0.500 0.500
0.500 0.500 0.000
```

Calculated values
As for the excess energy over the best structure of this formula in the dataset: 185 meV per atom. Its formation energy is -0.24 eV/atom.

---

Here is a relaxed structure of Nd12Cd3In from Alexandria. Energies are from PBE-GGA.

Cell and atoms, written as POSCAR:
```
Nd12Cd3In
1.0
-1.690 -4.317 -1.867
4.359 -2.183 1.100
-7.036 -5.006 17.947
Nd Cd In
12 3 1
direct
0.000 0.500 0.125
0.500 0.000 0.125
0.000 0.500 0.875
0.500 0.500 0.250
0.500 0.500 0.500
0.500 0.500 0.750
0.000 0.500 0.375
0.500 0.000 0.625
0.500 0.000 0.375
0.500 0.500 0.000
0.000 0.500 0.625
0.500 0.000 0.875
0.000 0.000 0.750
0.000 0.000 0.500
0.000 0.000 0.250
0.000 0.000 0.000
```

Calculated values
Its formation energy is -0.16 eV/atom.

---

Here is a relaxed structure of Nd2Cd3In2 from Alexandria. Energies are from PBE-GGA.

Cell and atoms, written as POSCAR:
```
Nd2Cd3In2
1.0
3.530 0.000 0.000
0.000 4.739 0.000
0.000 -2.369 11.216
Cd Nd In
3 2 2
direct
0.000 0.000 0.000
0.500 0.568 0.136
0.500 0.432 0.864
0.000 0.151 0.303
0.000 0.849 0.697
0.500 0.287 0.575
0.500 0.713 0.425
```

Calculated values
As for the excess energy over the best structure of this formula in the dataset: 84 meV per atom. Its formation energy is -0.27 eV/atom.

---

Here is a relaxed structure of Nd6CdIn5 from Alexandria. Energies are from PBE-GGA.

Cell and atoms, written as POSCAR:
```
Nd6CdIn5
1.0
10.022 -0.787 0.000
1.935 6.358 0.000
0.967 3.179 5.790
In Nd Cd
5 6 1
direct
0.500 0.147 0.706
0.000 0.689 0.623
0.500 0.853 0.294
0.000 0.311 0.377
0.500 0.500 0.000
0.741 0.429 0.663
0.741 0.092 0.337
0.233 0.265 0.000
0.259 0.908 0.663
0.259 0.571 0.337
0.767 0.735 0.000
0.000 0.000 0.000
```

Calculated values
As for the excess energy over the best structure of this formula in the dataset: 189 meV per atom. Its formation energy is -0.28 eV/atom.

---

Here is a relaxed structure of Nd6Cd6In from Alexandria. Energies are from PBE-GGA.

Cell and atoms, written as POSCAR:
```
Nd6Cd6In
1.0
-2.234 -1.020 5.673
4.251 -3.807 -2.379
8.293 6.489 4.433
Nd Cd In
6 6 1
direct
0.333 0.667 0.500
0.000 0.000 0.339
0.333 0.667 0.000
0.000 0.000 0.661
0.667 0.333 0.500
0.667 0.333 0.000
0.500 0.500 0.244
0.000 0.500 0.756
0.000 0.500 0.244
0.500 0.000 0.756
0.500 0.500 0.756
0.500 0.000 0.244
0.000 0.000 0.000
```

Calculated values
Its formation energy is -0.18 eV/atom.

---

Here is a relaxed structure of NdCd2In from Alexandria. Energies are from PBE-GGA.

Cell and atoms, written as POSCAR:
```
NdCd2In
1.0
-5.596 1.226 -1.576
-1.406 -4.634 1.385
-1.520 -0.865 4.723
Cd In Nd
2 1 1
direct
0.500 0.333 0.333
0.500 0.000 0.000
0.500 0.667 0.667
0.000 0.000 0.000
```

Calculated values
As for the excess energy over the best structure of this formula in the dataset: 654 meV per atom. Its formation energy is 0.31 eV/atom.

---

Here is a relaxed structure of Nd5CdIn4 from Alexandria. Energies are from PBE-GGA.

Cell and atoms, written as POSCAR:
```
Nd5CdIn4
1.0
3.861 0.000 0.000
0.000 3.861 0.000
0.000 0.000 19.520
Nd In Cd
5 4 1
direct
0.500 0.500 0.300
0.500 0.500 0.700
0.500 0.500 0.500
0.500 0.500 0.901
0.500 0.500 0.099
0.000 0.000 0.802
0.000 0.000 0.198
0.000 0.000 0.600
0.000 0.000 0.400
0.000 0.000 0.000
```

Calculated values
Its formation energy is -0.46 eV/atom.

---

Here is a relaxed structure of Nd2Cd3In3 from Alexandria. Energies are from PBE-GGA.

Cell and atoms, written as POSCAR:
```
Nd2Cd3In3
1.0
4.745 0.000 0.000
0.000 4.677 0.000
0.000 0.000 9.274
In Nd Cd
3 2 3
direct
0.500 0.000 0.500
0.000 0.500 0.000
0.000 0.500 0.500
0.000 0.000 0.749
0.000 0.000 0.251
0.500 0.500 0.247
0.500 0.000 0.000
0.500 0.500 0.753
```

Calculated values
Its formation energy is -0.39 eV/atom.

---

Here is a relaxed structure of Nd2CdIn from Alexandria. Energies are from PBE-GGA.

Cell and atoms, written as POSCAR:
```
Nd2CdIn
1.0
-3.679 -0.319 -1.177
-1.060 -3.326 4.215
-1.357 4.323 3.070
Cd In Nd
1 1 2
direct
0.500 0.000 0.000
0.500 0.500 0.500
0.000 0.000 0.500
0.000 0.500 0.000
```

Calculated values
As for the excess energy over the best structure of this formula in the dataset: 7 meV per atom. Its formation energy is -0.41 eV/atom.

---

Here is a relaxed structure of Nd3Cd2In7 from Alexandria. Energies are from PBE-GGA.

Cell and atoms, written as POSCAR:
```
Nd3Cd2In7
1.0
-1.955 -3.752 2.255
4.379 -1.689 0.986
-2.119 8.439 12.203
In Cd Nd
7 2 3
direct
0.000 0.421 0.842
0.500 0.079 0.158
0.000 0.726 0.452
0.000 0.000 0.000
0.000 0.579 0.158
0.500 0.921 0.842
0.000 0.274 0.548
0.000 0.846 0.692
0.000 0.154 0.308
0.500 0.654 0.308
0.500 0.500 0.000
0.500 0.346 0.692
```

Calculated values
Its formation energy is -0.26 eV/atom.

---

Here is a relaxed structure of Nd2CdIn2 from Alexandria. Energies are from PBE-GGA.

Cell and atoms, written as POSCAR:
```
Nd2CdIn2
1.0
4.899 0.000 0.000
2.450 5.755 -0.506
2.450 -0.013 10.122
In Nd Cd
4 4 2
direct
0.351 0.177 0.121
0.935 0.705 0.426
0.065 0.295 0.574
0.649 0.823 0.879
0.313 0.711 0.664
0.914 0.261 0.911
0.086 0.739 0.089
0.687 0.289 0.336
0.385 0.890 0.339
0.615 0.110 0.661
```

Calculated values
Its formation energy is -0.44 eV/atom.